Record 1
# GGA-PBE NaLiCe2Br8, optimized geometry
data_NaLiCe2Br8
_space_group_name_H-M_alt 'P 1 2/m 1'
_space_group_IT_number 10
_cell_length_a 6.774
_cell_length_b 8.811
_cell_length_c 7.024
_cell_angle_alpha 90.00
_cell_angle_beta 94.34
_cell_angle_gamma 90.00
loop_
_space_group_symop_operation_xyz
'x,y,z'
'-x,-y,-z'
'-x,y,-z'
'x,-y,z'
loop_
_atom_site_label
_atom_site_type_symbol
_atom_site_fract_x
_atom_site_fract_y
_atom_site_fract_z
Na1 Na 0.000 0.000 0.000
Li1 Li 0.000 0.500 0.000
Ce1 Ce 0.500 0.254 0.500
Br1 Br 0.220 0.267 0.171
Br2 Br 0.276 0.500 0.669
Br3 Br 0.281 0.000 0.664
# - magnetization (μB per formula unit) = 2.0
# - E_tot (eV per atom) = -4.0644
# - formation energy (no corrections) (eV/f.u.) = -20.289

---

Record 2
# GGA-PBE PrMnCoGe3, optimized geometry
data_PrMnCoGe3
_space_group_name_H-M_alt 'C m c m'
_space_group_IT_number 63
_space_group_name_Hall '-C 2c 2'
_cell_length_a 6.079
_cell_length_b 11.106
_cell_length_c 6.834
_cell_angle_alpha 90.00
_cell_angle_beta 90.00
_cell_angle_gamma 90.00
loop_
_atom_site_label
_atom_site_type_symbol
_atom_site_fract_x
_atom_site_fract_y
_atom_site_fract_z
Pr1 Pr 0.000 0.248 0.250
Mn1 Mn 0.000 0.456 0.750
Co1 Co 0.000 0.055 0.750
Ge1 Ge 0.000 0.253 0.750
Ge2 Ge 0.235 0.000 0.000
# - magnetization (μB per formula unit) = 2.2
# - E_form (eV/atom) = -0.257
# - E_tot (eV per atom) = -6.0749

---

Record 3
# GGA-PBE PmNbPb2, optimized geometry
data_PmNbPb2
_space_group_name_H-M_alt 'R -3 m'
_space_group_IT_number 166
_space_group_name_Hall '-R 3 2"'
_cell_length_a 3.2941
_cell_length_b 3.2941
_cell_length_c 34.8165
_cell_angle_alpha 90.00
_cell_angle_beta 90.00
_cell_angle_gamma 120.00
loop_
_atom_site_label
_atom_site_type_symbol
_atom_site_fract_x
_atom_site_fract_y
_atom_site_fract_z
Pm1 Pm 0.0000 0.0000 0.0000
Nb1 Nb 0.0000 0.0000 0.5000
Pb1 Pb 0.0000 0.0000 0.4166
# - magnetization (μB per formula unit) = 0.0
# - E_form (eV/atom) = 0.406
# - E_tot (eV per atom) = -5.1528

---

Record 4
# GGA-PBE MgGaPd, optimized geometry
data_MgGaPd
_space_group_name_H-M_alt 'I 4 m m'
_space_group_IT_number 107
_space_group_name_Hall 'I 4 -2'
_cell_length_a 3.296
_cell_length_b 3.296
_cell_length_c 9.020
_cell_angle_alpha 90.00
_cell_angle_beta 90.00
_cell_angle_gamma 90.00
loop_
_atom_site_label
_atom_site_type_symbol
_atom_site_fract_x
_atom_site_fract_y
_atom_site_fract_z
Mg1 Mg 0.000 0.000 0.000
Ga1 Ga 0.000 0.000 0.685
Pd1 Pd 0.000 0.000 0.329
# - magnetization (μB per formula unit) = 0.0
# - E_form (eV/atom) = -0.569
# - E_tot (eV per atom) = -3.8407